Sr2ScOsSe6 | OQMD | GGA-PBE | optimized geometry; space group = C2/m (12); total magnetic moment = 1.31 μB per cell; volume = 25.3 Å³/atom; uncorrected energy = -52.202 eV/cell; offset from the most stable computed form = 0.022 eV per atom; theoretical density = 5.80 g/cm3
1.0
6.0848 -3.4928 0.0000
6.0848 3.4928 0.0000
-4.3226 0.0000 5.9553
Sr Se Os Sc
2 6 1 1
direct
0.7500 0.7500 0.2382
0.2500 0.2500 0.7618
0.1930 0.6986 0.1843
0.2422 0.2422 0.3439
0.7578 0.7578 0.6561
0.3014 0.8070 0.8157
0.6986 0.1930 0.1843
0.8070 0.3014 0.8157
0.0000 0.0000 0.0000
0.5000 0.5000 0.5000